Entry 1:
Ca2LaInO: optimized geometry, PBE-GGA.

Properties
raw formation energy = -1.428 eV per atom

Cell: 4.9223 4.9223 5.0772 Å, 90.00 90.00 90.00°
Closest atoms and distances in Å follow each position.
Positions (direct):
Ca1 0.0000 0.5000 0.0000  2 O 2.46
Ca2 0.5000 0.0000 0.0000  2 O 2.46
La1 0.0000 0.0000 0.5000  2 O 2.54
In1 0.5000 0.5000 0.5000  4 La 3.48, 8 Ca 3.54
O1 0.0000 0.0000 0.0000  4 Ca 2.46, 2 La 2.54

---

Entry 2:
CaLaInOs2: optimized geometry, PBE-GGA.

Properties
E_form = 1886 meV per atom

Cell: 4.9024 4.9024 5.2031 Å, 90.00 90.00 90.00°
Closest atoms and distances in Å follow each position.
Positions (direct):
Ca1 0.0000 0.0000 0.0000  4 Os 2.45, 2 La 2.60
La1 0.0000 0.0000 0.5000  2 Ca 2.60
In1 0.5000 0.5000 0.5000  4 La 3.47, 8 Os 3.57
Os1 0.0000 0.5000 0.0000  2 Ca 2.45
Os2 0.5000 0.0000 0.0000  2 Ca 2.45

---

Entry 3:
CaLaInPb: optimized geometry, PBE-GGA.

Properties
relative energy among the computed polymorphs = 2.2 kJ/mol of atoms
E_form = -503 meV per atom

Cell: 5.5818 5.5818 5.5818 Å, 60.00 60.00 60.00°
Closest atoms and distances in Å follow each position.
Positions (direct):
Ca1 0.0000 0.0000 0.0000  4 In 3.42, 4 Pb 3.42
La1 0.5000 0.5000 0.5000  4 In 3.42, 4 Pb 3.42
In1 0.7500 0.7500 0.7500  4 La 3.42, 4 Ca 3.42
Pb1 0.2500 0.2500 0.2500  4 La 3.42, 4 Ca 3.42

---

Entry 4:
CaLaInPb: optimized geometry, PBE-GGA.

Properties
relative energy among the computed polymorphs = 0.0 kJ/mol of atoms
E_form = -527 meV per atom

Cell: 4.5954 5.1298 5.1759 Å, 90.00 90.00 90.00°
Closest atoms and distances in Å follow each position.
Positions (direct):
Ca1 0.0000 0.0000 0.0000  4 In 3.44, 4 Pb 3.46, 4 La 3.64
La1 0.0000 0.5000 0.5000  4 Pb 3.44, 4 In 3.46, 4 Ca 3.64
In1 0.5000 0.5000 0.0000  4 Ca 3.44, 4 La 3.46, 4 Pb 3.64
Pb1 0.5000 0.0000 0.5000  4 La 3.44, 4 Ca 3.46, 4 In 3.64

---

Entry 5:
CaLaInPd: optimized geometry, PBE-GGA.

Properties
E_form = -544 meV per atom

Cell: 5.3326 5.3326 5.3326 Å, 60.00 60.00 60.00°
Closest atoms and distances in Å follow each position.
Positions (direct):
Ca1 0.0000 0.0000 0.0000  4 In 3.27, 4 Pd 3.27
La1 0.5000 0.5000 0.5000  4 In 3.27, 4 Pd 3.27
In1 0.7500 0.7500 0.7500  4 La 3.27, 4 Ca 3.27
Pd1 0.2500 0.2500 0.2500  4 La 3.27, 4 Ca 3.27

---

Entry 6:
CaLaPm2In4: optimized geometry, PBE-GGA.

Properties
E_form = -486 meV per atom

Cell: 9.5628 9.5628 9.5628 Å, 33.22 33.22 33.22°
Closest atoms and distances in Å follow each position.
Positions (direct):
Ca1 0.0000 0.0000 0.0000  8 In 3.35-3.38
La1 0.5000 0.5000 0.5000  8 In 3.35-3.39
Pm1 0.2530 0.2530 0.2530  8 In 3.29-3.47
Pm2 0.7470 0.7470 0.7470  8 In 3.29-3.47
In1 0.1248 0.1248 0.1248  3 La 3.35, 4 Pm 3.38-3.47, 1 Ca 3.38
In2 0.3747 0.3747 0.3747  4 Pm 3.29-3.33, 3 Ca 3.35, 1 La 3.39
In3 0.6253 0.6253 0.6253  4 Pm 3.29-3.33, 3 Ca 3.35, 1 La 3.39
In4 0.8752 0.8752 0.8752  3 La 3.35, 4 Pm 3.38-3.47, 1 Ca 3.38

---

Entry 7:
Ca2LaInPt: optimized geometry, PBE-GGA.

Properties
E_form = -530 meV per atom

Cell: 5.5746 5.5746 5.5303 Å, 90.00 90.00 90.00°
Closest atoms and distances in Å follow each position.
Positions (direct):
Ca1 0.0000 0.5000 0.0000  2 Pt 2.79
Ca2 0.5000 0.0000 0.0000  2 Pt 2.79
La1 0.0000 0.0000 0.5000  2 Pt 2.77
In1 0.5000 0.5000 0.5000  8 Ca 3.93, 4 La 3.94
Pt1 0.0000 0.0000 0.0000  2 La 2.77, 4 Ca 2.79

---

Entry 8:
CaLaInRh: optimized geometry, PBE-GGA.

Properties
E_form = -415 meV per atom

Cell: 5.2451 5.2451 5.2451 Å, 60.00 60.00 60.00°
Closest atoms and distances in Å follow each position.
Positions (direct):
Ca1 0.0000 0.0000 0.0000  4 Rh 3.21, 4 In 3.21
La1 0.5000 0.5000 0.5000  4 Rh 3.21, 4 In 3.21
In1 0.2500 0.2500 0.2500  4 La 3.21, 4 Ca 3.21
Rh1 0.7500 0.7500 0.7500  4 La 3.21, 4 Ca 3.21

---

Number 1: size of the total moment 0.0 μB/cell. Number 2: size of the total moment 1.2 μB/cell. Number 3: size of the total moment 0.0 μB/cell. Number 4: size of the total moment 0.0 μB/cell. Number 5: size of the total moment 0.0 μB/cell. Number 6: size of the total moment 0.0 μB/cell. Number 7: size of the total moment 0.0 μB/cell. Number 8: size of the total moment 0.0 μB/cell.